(1)
Below is a relaxed structure of InRe2Pb, with properties calculated at the PBE level.

Structure (POSCAR):
```
InRe2Pb
1.0
5.130 0.000 0.000
1.666 4.851 0.000
-3.398 -2.426 2.980
In Pb Re
1 1 2
Direct
0.500 0.500 0.000
0.750 0.250 0.500
0.000 0.000 0.000
0.250 0.750 0.500
```

Summary:
N(E_F) = 1.1483 states/eV/atom
Crystal system = tetragonal
Space group = I-4m2
Excess energy over the best structure of this formula in the dataset = 2.99 eV per formula unit
ΔH_f (0 K) = 1.06 eV/atom

(2)
Below is a relaxed structure of Dy2PaFe9, with properties calculated at the PBE level.

Structure (POSCAR):
```
Dy2PaFe9
1.0
-4.669 0.937 1.599
-3.869 -2.586 -1.892
-1.953 -6.223 5.832
Fe Dy Pa
9 2 1
Direct
0.917 0.418 0.246
0.332 0.332 0.003
0.668 0.668 0.997
0.418 0.418 0.246
0.418 0.917 0.246
0.083 0.582 0.754
0.582 0.083 0.754
0.500 0.500 0.500
0.582 0.582 0.754
0.142 0.142 0.575
0.858 0.858 0.425
0.000 0.000 0.000
```

Summary:
N(E_F) = 1.1068 states/eV/atom
Crystal system = trigonal
Space group = R-3m
ΔH_f (0 K) = -0.07 eV/atom

(3)
Below is a relaxed structure of PuTcIr, with properties calculated at the PBE level.

Structure (POSCAR):
```
PuTcIr
1.0
4.376 0.000 0.000
2.188 4.946 -0.656
2.188 0.765 5.217
Tc Pu Ir
2 2 2
Direct
0.643 0.770 0.943
0.357 0.230 0.057
0.061 0.196 0.682
0.939 0.804 0.318
0.670 0.377 0.283
0.330 0.623 0.717
```

Summary:
N(E_F) = 2.7654 states/eV/atom
Crystal system = monoclinic
Space group = C2/m
Excess energy over the best structure of this formula in the dataset = 0.50 eV per formula unit
ΔH_f (0 K) = -0.14 eV/atom

(4)
Below is a relaxed structure of La2Sm2Sb2N, with properties calculated at the PBE level.

Structure (POSCAR):
```
La2Sm2Sb2N
1.0
-4.081 -0.339 -2.547
2.386 -2.271 -3.522
-0.814 -6.098 6.682
N La Sm Sb
1 2 2 2
Direct
0.000 0.000 0.000
0.165 0.165 0.330
0.835 0.835 0.670
0.500 0.000 0.000
0.000 0.500 0.000
0.638 0.638 0.275
0.362 0.362 0.725
```

Summary:
N(E_F) = 1.2043 states/eV/atom
Crystal system = tetragonal
Raw total energy = -43.92 eV/cell
Space group = I4/mmm

(5)
Below is a relaxed structure of Cu2Ag4F9, with properties calculated at the PBE level.

Structure (POSCAR):
```
Cu2Ag4F9
1.0
-0.389 -3.686 4.400
4.829 -1.411 3.001
-2.735 11.494 9.391
Ag F Cu
8 18 4
Direct
0.311 0.327 0.187
0.324 0.349 0.982
0.363 0.325 0.687
0.689 0.673 0.813
0.673 0.650 0.518
0.676 0.651 0.018
0.327 0.350 0.482
0.637 0.675 0.313
0.311 0.740 0.735
0.265 0.727 0.403
0.051 0.257 0.764
0.311 0.015 0.584
0.008 0.726 0.903
0.785 0.998 0.750
0.046 0.676 0.587
0.325 0.985 0.916
0.280 0.675 0.087
0.949 0.743 0.236
0.215 0.002 0.250
0.689 0.985 0.416
0.735 0.273 0.597
0.675 0.015 0.084
0.720 0.325 0.913
0.954 0.324 0.413
0.689 0.260 0.265
0.992 0.274 0.097
0.024 0.012 0.847
0.976 0.988 0.153
0.037 0.986 0.652
0.963 0.014 0.348
```

Summary:
N(E_F) = 0.4192 states/eV/atom
Crystal system = triclinic
Raw total energy = -109.55 eV/cell
Space group = P-1

(6)
Below is a relaxed structure of Ca3Ac2DyTe6, with properties calculated at the PBE level.

Structure (POSCAR):
```
Ca3Ac2DyTe6
1.0
-3.385 -3.647 -6.087
7.292 2.854 -0.698
1.488 -6.299 4.649
Te Ca Dy Ac
6 3 1 2
Direct
0.771 0.771 0.262
0.596 0.914 0.741
0.404 0.086 0.259
0.914 0.596 0.741
0.229 0.229 0.738
0.086 0.404 0.259
0.828 0.172 0.500
0.172 0.828 0.500
0.500 0.500 0.500
0.000 0.000 0.000
0.666 0.334 0.000
0.334 0.666 0.000
```

Summary:
N(E_F) = 0.4276 states/eV/atom
Crystal system = monoclinic
Raw total energy = -55.68 eV/cell
Space group = C2/m

(7)
Below is a relaxed structure of La2Ag5, with properties calculated at the PBE level.

Structure (POSCAR):
```
La2Ag5
1.0
-3.508 -2.450 -4.605
6.293 0.106 -4.850
0.272 -5.017 6.752
Ag La
10 4
Direct
0.640 0.917 0.279
0.860 0.638 0.721
0.250 0.500 0.000
0.033 0.283 0.566
0.140 0.362 0.279
0.533 0.283 0.566
0.360 0.083 0.721
0.967 0.717 0.434
0.467 0.717 0.434
0.750 0.500 0.000
0.605 0.293 0.210
0.895 0.083 0.790
0.395 0.707 0.790
0.105 0.917 0.210
```

Summary:
N(E_F) = 0.5891 states/eV/atom
Crystal system = orthorhombic
Space group = Ibam
ΔH_f (0 K) = -0.21 eV/atom

(8)
Below is a relaxed structure of Nd2TlHg, with properties calculated at the PBE level.

Structure (POSCAR):
```
Nd2TlHg
1.0
5.485 0.000 0.000
2.743 4.750 0.000
2.743 1.584 4.479
Hg Nd Tl
1 2 1
Direct
0.250 0.250 0.250
0.500 0.500 0.500
0.000 0.000 0.000
0.750 0.750 0.750
```

Summary:
N(E_F) = 0.5287 states/eV/atom
Crystal system = cubic
Space group = Fm-3m
ΔH_f (0 K) = -0.43 eV/atom

(9)
Below is a relaxed structure of Fe2RePb, with properties calculated at the PBE level.

Structure (POSCAR):
```
Fe2RePb
1.0
-1.424 4.088 -1.238
-1.574 2.203 -3.597
-5.033 -0.644 0.836
Fe Re Pb
2 1 1
Direct
0.987 0.987 0.067
0.513 0.513 0.433
0.250 0.250 0.250
0.750 0.750 0.750
```

Summary:
N(E_F) = 1.1682 states/eV/atom
Crystal system = monoclinic
Space group = C2/m
ΔH_f (0 K) = 0.68 eV/atom